This record from the Alexandria database describes Ac2ZnSe after structural relaxation. The functional is PBE. Values from VASP.

Calculated values
Raw formation energy: -1.966 eV per formula unit
Energy relative to the lowest polymorph listed for this composition: 532 meV per atom
Magnetic moment: 0.000 μB/atom
E_tot: -0.137 Ha/atom

Structure (Quantum ESPRESSO input):
```
&SYSTEM
  ibrav = 0, nat = 4, ntyp = 3
/
ATOMIC_SPECIES
Ac 227.00 Ac.upf
Zn 65.41 Zn.upf
Se 78.96 Se.upf
ATOMIC_POSITIONS crystal
Ac 0.1046 0.1046 0.1046
Ac 0.8954 0.8954 0.8954
Zn 0.0000 0.0000 0.0000
Se 0.5000 0.5000 0.5000
CELL_PARAMETERS angstrom
2.0937 1.2088 10.4653
-2.0937 1.2088 10.4653
0.0000 -2.4176 10.4653
```

This record from the Alexandria database describes Ac2ZnSe after structural relaxation. The functional is PBE. Values from VASP.

Calculated values
Raw formation energy: -4.095 eV per formula unit
Energy relative to the lowest polymorph listed for this composition: 0 meV per atom
Magnetic moment: 0.000 μB/atom
E_tot: -0.157 Ha/atom

Structure (Quantum ESPRESSO input):
```
&SYSTEM
  ibrav = 0, nat = 8, ntyp = 3
/
ATOMIC_SPECIES
Ac 227.00 Ac.upf
Zn 65.41 Zn.upf
Se 78.96 Se.upf
ATOMIC_POSITIONS crystal
Ac 0.0688 0.9312 0.7500
Ac 0.3167 0.6833 0.7500
Ac 0.6833 0.3167 0.2500
Ac 0.9312 0.0688 0.2500
Zn 0.4646 0.5354 0.7500
Zn 0.5354 0.4646 0.2500
Se 0.1937 0.8063 0.7500
Se 0.8063 0.1937 0.2500
CELL_PARAMETERS angstrom
2.1973 -12.7599 0.0000
2.1973 12.7599 0.0000
0.0000 0.0000 4.5531
```

This record from the Alexandria database describes Ac3ZrSe6 after structural relaxation. The functional is PBE. Values from VASP.

Calculated values
Raw formation energy: -17.636 eV per formula unit
Energy relative to the lowest polymorph listed for this composition: 36 meV per atom
Magnetic moment: 0.104 μB/atom
E_tot: -0.218 Ha/atom

Structure (Quantum ESPRESSO input):
```
&SYSTEM
  ibrav = 0, nat = 20, ntyp = 3
/
ATOMIC_SPECIES
Ac 227.00 Ac.upf
Zr 91.22 Zr.upf
Se 78.96 Se.upf
ATOMIC_POSITIONS crystal
Ac 0.0000 0.0000 0.0000
Ac 0.0000 0.5000 0.5000
Ac 0.3053 0.1042 0.7621
Ac 0.3053 0.3958 0.2621
Ac 0.6947 0.6042 0.7379
Ac 0.6947 0.8958 0.2379
Zr 0.5000 0.0000 0.5000
Zr 0.5000 0.5000 0.0000
Se 0.1265 0.0437 0.2710
Se 0.1265 0.4563 0.7710
Se 0.2641 0.6753 0.0742
Se 0.2641 0.8247 0.5742
Se 0.4051 0.1961 0.0663
Se 0.4051 0.3039 0.5663
Se 0.5949 0.6961 0.4337
Se 0.5949 0.8039 0.9337
Se 0.7359 0.1753 0.4258
Se 0.7359 0.3247 0.9258
Se 0.8735 0.5437 0.2290
Se 0.8735 0.9563 0.7290
CELL_PARAMETERS angstrom
7.2789 0.0000 0.0000
0.0000 7.9795 0.0000
-6.5809 0.0000 10.7031
```

This record from the Alexandria database describes Ac3ZrSe6 after structural relaxation. The functional is PBE. Values from VASP.

Calculated values
Raw formation energy: -18.000 eV per formula unit
Energy relative to the lowest polymorph listed for this composition: 0 meV per atom
Magnetic moment: 0.079 μB/atom
E_tot: -0.220 Ha/atom

Structure (Quantum ESPRESSO input):
```
&SYSTEM
  ibrav = 0, nat = 20, ntyp = 3
/
ATOMIC_SPECIES
Ac 227.00 Ac.upf
Zr 91.22 Zr.upf
Se 78.96 Se.upf
ATOMIC_POSITIONS crystal
Ac 0.1258 0.7933 0.6181
Ac 0.2067 0.3819 0.8742
Ac 0.3819 0.8742 0.2067
Ac 0.6181 0.1258 0.7933
Ac 0.7933 0.6181 0.1258
Ac 0.8742 0.2067 0.3819
Zr 0.0000 0.0000 0.0000
Zr 0.5000 0.5000 0.5000
Se 0.0662 0.9310 0.3051
Se 0.0690 0.6949 0.9338
Se 0.1903 0.4368 0.5277
Se 0.3051 0.0662 0.9310
Se 0.4368 0.5277 0.1903
Se 0.4723 0.8097 0.5632
Se 0.5277 0.1903 0.4368
Se 0.5632 0.4723 0.8097
Se 0.6949 0.9338 0.0690
Se 0.8097 0.5632 0.4723
Se 0.9310 0.3051 0.0662
Se 0.9338 0.0690 0.6949
CELL_PARAMETERS angstrom
6.5727 3.7948 4.2487
-6.5727 3.7948 4.2487
0.0000 -7.5895 4.2487
```